[1]
# Cs3Tl5Ag2 | Alexandria via LeMat-Bulk | PBE-GGA | optimized geometry
# Formation energy from the elements = -0.019 eV per atom
data_Cs3Tl5Ag2
_cell_length_a 12.839
_cell_length_b 15.551
_cell_length_c 7.778
_cell_angle_alpha 90.00
_cell_angle_beta 90.00
_cell_angle_gamma 90.00
_space_group_name_H-M_alt 'I b a m'
_space_group_IT_number 72
_space_group_name_Hall '-I 2 2c'
loop_
_atom_site_label
_atom_site_type_symbol
_atom_site_fract_x
_atom_site_fract_y
_atom_site_fract_z
_atom_site_occupancy
Cs1 Cs 0.000 0.000 0.250 1
Cs2 Cs 0.243 0.372 0.000 1
Tl1 Tl 0.000 0.258 0.250 1
Tl2 Tl 0.000 0.500 0.250 1
Tl3 Tl 0.141 0.381 0.500 1
Ag1 Ag 0.137 0.161 0.000 1

=====

[2]
# NiTeSe3 | Alexandria via LeMat-Bulk | PBE-GGA | optimized geometry
# Relative energy among the computed polymorphs = 0.334 eV per atom
# Uncorrected formation energy = 253 meV/atom
data_NiTeSe3
_cell_length_a 4.733
_cell_length_b 4.733
_cell_length_c 4.733
_cell_angle_alpha 90.00
_cell_angle_beta 90.00
_cell_angle_gamma 90.00
_space_group_name_H-M_alt 'P m -3 m'
_space_group_IT_number 221
_space_group_name_Hall '-P 4 2 3'
loop_
_atom_site_label
_atom_site_type_symbol
_atom_site_fract_x
_atom_site_fract_y
_atom_site_fract_z
_atom_site_occupancy
Ni1 Ni 0.000 0.000 0.000 1
Te1 Te 0.500 0.500 0.500 1
Se1 Se 0.000 0.000 0.500 1

=====

[3]
# PuThCuPd | Alexandria via LeMat-Bulk | PBE-GGA | optimized geometry
# Formation energy from the elements = -0.241 eV per atom
data_PuThCuPd
_cell_length_a 7.120
_cell_length_b 7.120
_cell_length_c 7.120
_cell_angle_alpha 90.00
_cell_angle_beta 90.00
_cell_angle_gamma 90.00
_space_group_name_H-M_alt 'F -4 3 m'
_space_group_IT_number 216
_space_group_name_Hall 'F -4 2 3'
loop_
_atom_site_label
_atom_site_type_symbol
_atom_site_fract_x
_atom_site_fract_y
_atom_site_fract_z
_atom_site_occupancy
Pu1 Pu 0.000 0.000 0.000 1
Th1 Th 0.000 0.000 0.500 1
Cu1 Cu 0.250 0.250 0.250 1
Pd1 Pd 0.250 0.250 0.750 1

=====

[4]
A plane-wave DFT calculation with PBE-GGA was carried out for crystalline Tl2SbHW at its relaxed geometry.

Cell and atoms, written as CIF:
```
data_Tl2SbHW
_cell_length_a 4.957
_cell_length_b 4.957
_cell_length_c 3.997
_cell_angle_alpha 90.00
_cell_angle_beta 90.00
_cell_angle_gamma 90.00
_space_group_name_H-M_alt 'P 4/m m m'
_space_group_IT_number 123
_space_group_name_Hall '-P 4 2'
loop_
_atom_site_label
_atom_site_type_symbol
_atom_site_fract_x
_atom_site_fract_y
_atom_site_fract_z
_atom_site_occupancy
Tl1 Tl 0.000 0.500 0.000 1
Sb1 Sb 0.000 0.000 0.500 1
H1 H 0.000 0.000 0.000 1
W1 W 0.500 0.500 0.500 1
```

=====

[5]
# SiTcW2 | Alexandria via LeMat-Bulk | PBE-GGA | optimized geometry
# Uncorrected formation energy = -9 meV/atom
data_SiTcW2
_cell_length_a 3.126
_cell_length_b 4.341
_cell_length_c 4.363
_cell_angle_alpha 90.00
_cell_angle_beta 90.00
_cell_angle_gamma 90.00
_space_group_name_H-M_alt 'P m m m'
_space_group_IT_number 47
loop_
_space_group_symop_operation_xyz
'x,y,z'
'-x,-y,-z'
'-x,-y,z'
'x,y,-z'
'x,-y,-z'
'-x,y,z'
'-x,y,-z'
'x,-y,z'
loop_
_atom_site_label
_atom_site_type_symbol
_atom_site_fract_x
_atom_site_fract_y
_atom_site_fract_z
_atom_site_occupancy
Si1 Si 0.000 0.000 0.000 1
Tc1 Tc 0.500 0.500 0.000 1
W1 W 0.000 0.500 0.500 1
W2 W 0.500 0.000 0.500 1

=====

[6]
# BaBeSe2 | Alexandria via LeMat-Bulk | PBE-GGA | optimized geometry
# Uncorrected formation energy = -1185 meV/atom
data_BaBeSe2
_cell_length_a 5.1278
_cell_length_b 5.1278
_cell_length_c 21.1196
_cell_angle_alpha 90.00
_cell_angle_beta 90.00
_cell_angle_gamma 120.00
_space_group_name_H-M_alt 'R -3 m'
_space_group_IT_number 166
_space_group_name_Hall '-R 3 2"'
loop_
_atom_site_label
_atom_site_type_symbol
_atom_site_fract_x
_atom_site_fract_y
_atom_site_fract_z
_atom_site_occupancy
Ba1 Ba 0.0000 0.0000 0.0000 1
Be1 Be 0.0000 0.0000 0.5000 1
Se1 Se 0.0000 0.0000 0.4050 1

=====

[7]
# ThCdCu5 | Alexandria via LeMat-Bulk | PBE-GGA | optimized geometry
# Formation energy from the elements = -0.164 eV per atom
data_ThCdCu5
_cell_length_a 8.390
_cell_length_b 5.083
_cell_length_c 10.596
_cell_angle_alpha 90.00
_cell_angle_beta 90.00
_cell_angle_gamma 90.00
_space_group_name_H-M_alt 'P n m a'
_space_group_IT_number 62
loop_
_space_group_symop_operation_xyz
'x,y,z'
'-x,-y,-z'
'-x+1/2,-y,z+1/2'
'x+1/2,y,-z+1/2'
'x+1/2,-y+1/2,-z+1/2'
'-x+1/2,y+1/2,z+1/2'
'-x,y+1/2,-z'
'x,-y+1/2,z'
loop_
_atom_site_label
_atom_site_type_symbol
_atom_site_fract_x
_atom_site_fract_y
_atom_site_fract_z
_atom_site_occupancy
Th1 Th 0.247 0.250 0.064 1
Cd1 Cd 0.138 0.750 0.865 1
Cu1 Cu 0.052 0.750 0.108 1
Cu2 Cu 0.067 0.001 0.313 1
Cu3 Cu 0.084 0.250 0.515 1
Cu4 Cu 0.185 0.250 0.742 1

=====

[8]
# SiAgSbI2 | Alexandria via LeMat-Bulk | PBE-GGA | optimized geometry
# Relative energy among the computed polymorphs = 0.000 eV per atom
# Uncorrected formation energy = 556 meV/atom
data_SiAgSbI2
_cell_length_a 5.515
_cell_length_b 5.515
_cell_length_c 5.453
_cell_angle_alpha 90.00
_cell_angle_beta 90.00
_cell_angle_gamma 90.00
_space_group_name_H-M_alt 'P 4/m m m'
_space_group_IT_number 123
_space_group_name_Hall '-P 4 2'
loop_
_atom_site_label
_atom_site_type_symbol
_atom_site_fract_x
_atom_site_fract_y
_atom_site_fract_z
_atom_site_occupancy
Si1 Si 0.000 0.000 0.000 1
Ag1 Ag 0.500 0.500 0.500 1
Sb1 Sb 0.000 0.000 0.500 1
I1 I 0.000 0.500 0.000 1

=====

[9]
# YPuCd17 | Alexandria via LeMat-Bulk | PBE-GGA | optimized geometry
# Formation energy from the elements = -0.071 eV per atom
data_YPuCd17
_cell_length_a 10.0596
_cell_length_b 10.0596
_cell_length_c 15.0980
_cell_angle_alpha 90.00
_cell_angle_beta 90.00
_cell_angle_gamma 120.00
_space_group_name_H-M_alt 'R 3 m'
_space_group_IT_number 160
_space_group_name_Hall 'R 3 -2"'
loop_
_atom_site_label
_atom_site_type_symbol
_atom_site_fract_x
_atom_site_fract_y
_atom_site_fract_z
_atom_site_occupancy
Y1 Y 0.0000 0.0000 0.0000 1
Pu1 Pu 0.0000 0.0000 0.6577 1
Cd1 Cd 0.0000 0.0000 0.2217 1
Cd2 Cd 0.0000 0.0000 0.4165 1
Cd3 Cd 0.0307 0.3619 0.9922 1
Cd4 Cd 0.1764 0.3528 0.8029 1
Cd5 Cd 0.1829 0.3657 0.1655 1
Cd6 Cd 0.1949 0.3898 0.5068 1

=====

[10]
# Tb8Dy3Th4 | Alexandria via LeMat-Bulk | PBE-GGA | optimized geometry
# Formation energy from the elements = 0.424 eV per atom
data_Tb8Dy3Th4
_cell_length_a 13.309
_cell_length_b 12.879
_cell_length_c 6.735
_cell_angle_alpha 90.00
_cell_angle_beta 120.07
_cell_angle_gamma 90.00
_space_group_name_H-M_alt 'C 1 2/m 1'
_space_group_IT_number 12
loop_
_space_group_symop_operation_xyz
'x,y,z'
'-x,-y,-z'
'-x,y,-z'
'x,-y,z'
'x+1/2,y+1/2,z'
'-x+1/2,-y+1/2,-z'
'-x+1/2,y+1/2,-z'
'x+1/2,-y+1/2,z'
loop_
_atom_site_label
_atom_site_type_symbol
_atom_site_fract_x
_atom_site_fract_y
_atom_site_fract_z
_atom_site_occupancy
Tb1 Tb 0.000 0.145 0.000 1
Tb2 Tb 0.000 0.245 0.500 1
Tb3 Tb 0.236 0.000 0.003 1
Tb4 Tb 0.241 0.000 0.489 1
Dy1 Dy 0.000 0.000 0.500 1
Dy2 Dy 0.250 0.250 0.500 1
Th1 Th 0.000 0.500 0.000 1
Th2 Th 0.000 0.500 0.500 1
Th3 Th 0.250 0.250 0.000 1

=====

[11]
# CeP2O8 | Alexandria via LeMat-Bulk | PBE-GGA | optimized geometry
# Relative energy among the computed polymorphs = 0.000 eV per atom
# Uncorrected formation energy = -2162 meV/atom
data_CeP2O8
_cell_length_a 8.000
_cell_length_b 10.198
_cell_length_c 5.383
_cell_angle_alpha 90.00
_cell_angle_beta 112.52
_cell_angle_gamma 90.00
_space_group_name_H-M_alt 'C 1 2/m 1'
_space_group_IT_number 12
loop_
_space_group_symop_operation_xyz
'x,y,z'
'-x,-y,-z'
'-x,y,-z'
'x,-y,z'
'x+1/2,y+1/2,z'
'-x+1/2,-y+1/2,-z'
'-x+1/2,y+1/2,-z'
'x+1/2,-y+1/2,z'
loop_
_atom_site_label
_atom_site_type_symbol
_atom_site_fract_x
_atom_site_fract_y
_atom_site_fract_z
_atom_site_occupancy
Ce1 Ce 0.000 0.000 0.000 1
P1 P 0.249 0.000 0.723 1
O1 O 0.030 0.500 0.151 1
O2 O 0.173 0.119 0.823 1
O3 O 0.217 0.000 0.424 1

=====

[12]
# Cs4PuTh3Te8 | Alexandria via LeMat-Bulk | PBE-GGA | optimized geometry
# Uncorrected formation energy = -1175 meV/atom
data_Cs4PuTh3Te8
_cell_length_a 9.1702
_cell_length_b 9.1702
_cell_length_c 27.1695
_cell_angle_alpha 90.00
_cell_angle_beta 90.00
_cell_angle_gamma 120.00
_space_group_name_H-M_alt 'R -3 m'
_space_group_IT_number 166
_space_group_name_Hall '-R 3 2"'
loop_
_atom_site_label
_atom_site_type_symbol
_atom_site_fract_x
_atom_site_fract_y
_atom_site_fract_z
_atom_site_occupancy
Cs1 Cs 0.0000 0.0000 0.0000 1
Cs2 Cs 0.0000 0.5000 0.0000 1
Pu1 Pu 0.0000 0.0000 0.5000 1
Th1 Th 0.0000 0.5000 0.5000 1
Te1 Te 0.0000 0.0000 0.2330 1
Te2 Te 0.0028 0.5014 0.7677 1

=====

[13]
# SbIr2Br | Alexandria via LeMat-Bulk | PBE-GGA | optimized geometry
# Relative energy among the computed polymorphs = 0.295 eV per atom
# Uncorrected formation energy = 641 meV/atom
data_SbIr2Br
_cell_length_a 2.948
_cell_length_b 5.397
_cell_length_c 10.313
_cell_angle_alpha 90.00
_cell_angle_beta 90.00
_cell_angle_gamma 90.00
_space_group_name_H-M_alt 'C m m 2'
_space_group_IT_number 35
loop_
_space_group_symop_operation_xyz
'x,y,z'
'-x,-y,z'
'-x,y,z'
'x,-y,z'
'x+1/2,y+1/2,z'
'-x+1/2,-y+1/2,z'
'-x+1/2,y+1/2,z'
'x+1/2,-y+1/2,z'
loop_
_atom_site_label
_atom_site_type_symbol
_atom_site_fract_x
_atom_site_fract_y
_atom_site_fract_z
_atom_site_occupancy
Sb1 Sb 0.000 0.000 0.000 1
Ir1 Ir 0.000 0.000 0.563 1
Ir2 Ir 0.000 0.500 0.776 1
Br1 Br 0.000 0.500 0.355 1

=====

[14]
# NaLa2P3Rh12 | Alexandria via LeMat-Bulk | PBE-GGA | optimized geometry
# Formation energy from the elements = -0.235 eV per atom
data_NaLa2P3Rh12
_cell_length_a 8.8828
_cell_length_b 8.8828
_cell_length_c 13.1471
_cell_angle_alpha 90.00
_cell_angle_beta 90.00
_cell_angle_gamma 120.00
_space_group_name_H-M_alt 'R -3 m'
_space_group_IT_number 166
_space_group_name_Hall '-R 3 2"'
loop_
_atom_site_label
_atom_site_type_symbol
_atom_site_fract_x
_atom_site_fract_y
_atom_site_fract_z
_atom_site_occupancy
Na1 Na 0.0000 0.0000 0.0000 1
La1 La 0.0000 0.0000 0.3790 1
P1 P 0.0000 0.5000 0.5000 1
Rh1 Rh 0.0087 0.5044 0.3297 1
Rh2 Rh 0.0351 0.5175 0.8767 1

=====

[15]
# Mg3ScIn | Alexandria via LeMat-Bulk | PBE-GGA | optimized geometry
# Relative energy among the computed polymorphs = 0.964 eV per atom
# Formation energy from the elements = 0.857 eV per atom
data_Mg3ScIn
_cell_length_a 5.637
_cell_length_b 5.637
_cell_length_c 5.637
_cell_angle_alpha 90.00
_cell_angle_beta 90.00
_cell_angle_gamma 90.00
_space_group_name_H-M_alt 'P m -3 m'
_space_group_IT_number 221
_space_group_name_Hall '-P 4 2 3'
loop_
_atom_site_label
_atom_site_type_symbol
_atom_site_fract_x
_atom_site_fract_y
_atom_site_fract_z
_atom_site_occupancy
Mg1 Mg 0.000 0.000 0.500 1
Sc1 Sc 0.000 0.000 0.000 1
In1 In 0.500 0.500 0.500 1

=====

VASP energy (eV/atom)
-2.0282 -3.6221 -8.0009 -3.9335 -10.4328 -4.3399 -4.2803 -2.5432 -1.9843 -4.9444 -7.2912 -5.2457 -5.2385 -6.6584 -1.9134